Record 1
Computed, not measured: a relaxed structure of Sr5Pb3 at the GGA-PBE level of DFT.

Cell: 8.7209 8.7209 16.5815 Å, 90.00 90.00 90.00°
Space group I4/mcm (No. 140)
Asymmetric unit:
Sr1 0.0000 0.0000 0.0000
Sr2 0.1739 0.3261 0.1430
Pb1 0.0000 0.0000 0.2500
Pb2 0.1255 0.3745 0.5000

**N(E_F)**: 27.39 states/eV/cell
**Energy above the most stable polymorph in this dataset**: 0.0 meV/atom
**Crystal system**: tetragonal
**ΔH_f (0 K)**: -540 meV per atom

Record 2
Computed, not measured: a relaxed structure of Sr2Pb at the GGA-PBE level of DFT.

Cell: 3.9337 3.9337 32.9535 Å, 90.00 90.00 90.00°
Space group I4_1/amd (No. 141, origin choice 2)
Asymmetric unit:
Sr1 0.0000 0.2500 0.3089
Pb1 0.0000 0.2500 0.8750

**N(E_F)**: 10.05 states/eV/cell
**Crystal system**: tetragonal
**ΔH_f (0 K)**: -324 meV per atom

Record 3
Computed, not measured: a relaxed structure of Sr4Pb3 at the GGA-PBE level of DFT.

Cell: 6.7697 6.7697 6.7138 Å, 90.00 90.00 120.00°
Space group P6/mmm (No. 191)
Asymmetric unit:
Sr1 0.0000 0.0000 0.2366
Sr2 0.3333 0.6667 0.5000
Pb1 0.0000 0.5000 0.0000

**N(E_F)**: 5.57 states/eV/cell
**Energy above the most stable polymorph in this dataset**: 162.9 meV/atom
**Crystal system**: hexagonal
**ΔH_f (0 K)**: -280 meV per atom